(1)
First-principles (PBE) data for a relaxed structure of NpSb2Mo, as listed in Alexandria.

Calculated values
E_tot: -7.968 eV per atom
uncorrected formation energy: 0.0364 eV per atom
polymorph energy (0 for the lowest one): 0.000 eV/atom

a = 3.372 Å, b = 3.372 Å, c = 7.700 Å
α = 90.00°, β = 90.00°, γ = 90.00°
Space group P4/mmm (No. 123)
Inequivalent atoms, fractional coordinates:
Np  0.000  0.000  0.000
Sb  0.500  0.500  0.291
Mo  0.000  0.000  0.500


(2)
First-principles (PBE) data for a relaxed structure of NpScMo, as listed in Alexandria.

Calculated values
ΔE_f: 0.25 eV/atom
E_tot: -9.785 eV per atom

a = 3.273 Å, b = 14.531 Å, c = 4.858 Å
α = 90.00°, β = 90.00°, γ = 90.00°
Space group Cmcm (No. 63)
Inequivalent atoms, fractional coordinates:
Np  0.000  0.233  0.250
Sc  0.000  0.075  0.750
Mo  0.000  0.406  0.750


(3)
First-principles (PBE) data for a relaxed structure of NpMoSe4, as listed in Alexandria.

Calculated values
E_tot: -6.827 eV per atom
uncorrected formation energy: -0.5418 eV per atom

a = 9.087 Å, b = 9.087 Å, c = 7.749 Å
α = 90.00°, β = 90.00°, γ = 90.00°
Space group I4_1md (No. 109)
Inequivalent atoms, fractional coordinates:
Np  0.000  0.000  0.000
Mo  0.000  0.000  0.496
Se  0.000  0.295  0.511
Se  0.000  0.305  0.976


(4)
First-principles (PBE) data for a relaxed structure of NpMo6Se8, as listed in Alexandria.

Calculated values
E_tot: -7.658 eV per atom
uncorrected formation energy: -0.6049 eV per atom

a = 9.4600 Å, b = 9.4600 Å, c = 11.9816 Å
α = 90.00°, β = 90.00°, γ = 120.00°
Space group R-3 (No. 148, hexagonal axes)
Inequivalent atoms, fractional coordinates:
Np  0.0000  0.0000  0.0000
Mo  0.0189  0.8457  0.4057
Se  0.0000  0.0000  0.2391
Se  0.0086  0.3803  0.7505


(5)
First-principles (PBE) data for a relaxed structure of NpSiMo, as listed in Alexandria.

Calculated values
E_tot: -9.796 eV per atom
uncorrected formation energy: -0.0642 eV per atom

a = 4.634 Å, b = 8.101 Å, c = 5.522 Å
α = 90.00°, β = 90.00°, γ = 90.00°
Space group Cmcm (No. 63)
Inequivalent atoms, fractional coordinates:
Np  0.000  0.000  0.000
Si  0.000  0.320  0.250
Mo  0.000  0.368  0.750


(6)
First-principles (PBE) data for a relaxed structure of Np2SnMo, as listed in Alexandria.

Calculated values
ΔE_f: 0.39 eV/atom
E_tot: -9.791 eV per atom

a = 3.0762 Å, b = 3.0762 Å, c = 30.6995 Å
α = 90.00°, β = 90.00°, γ = 120.00°
Space group R-3m (No. 166, hexagonal axes)
Inequivalent atoms, fractional coordinates:
Np  0.0000  0.0000  0.2408
Sn  0.0000  0.0000  0.0000
Mo  0.0000  0.0000  0.5000


no.,density (g/cm3),total moment (μB/f.u.)
1,10.94,5.08
2,10.86,2.26
3,6.73,5.01
4,7.75,3.54
5,11.57,2.55
6,13.64,5.16